(1)
This record from the Alexandria database describes an optimized crystal structure of Pm3TmRu2. The functional is GGA-PBE.

The value obtained for the electronic total energy is -6.38 eV/atom. The calculated density comes out at 8.00 g/cm³. The formation energy from the elements comes out at -1.0 eV per formula unit. Its total magnetic moment is 0.00 μB per formula unit.

The structure belongs to space group Ibam (No. 72); the cell edges are 6.796, 13.689 and 7.193 Å and the angles 90.00°, 90.00° and 90.00°. Symmetry generates all atoms from Pm at (0.000, 0.000, 0.250), Pm at (0.000, 0.268, 0.250), Tm at (0.000, 0.500, 0.000) and Ru at (0.225, 0.134, 0.000).

***

(2)
This record from the Alexandria database describes an optimized crystal structure of CaCuRe3. The functional is GGA-PBE.

The value obtained for the electronic total energy is -5.29 eV/atom. The energy relative to the lowest polymorph listed for this composition comes out at 1633 meV per atom. The calculated density comes out at 11.52 g/cm³. The formation energy from the elements comes out at 17.0 eV per formula unit. Its total magnetic moment is 0.00 μB per formula unit.

The structure belongs to space group Pm-3m (No. 221); the cell edges are 4.571, 4.571 and 4.571 Å and the angles 90.00°, 90.00° and 90.00°. Symmetry generates all atoms from Ca at (0.000, 0.000, 0.000), Cu at (0.500, 0.500, 0.500) and Re at (0.000, 0.000, 0.500).

***

(3)
This record from the Alexandria database describes an optimized crystal structure of HoPtPb2O6. The functional is GGA-PBE.

Its energy relative to the elements, uncorrected is -1491 meV/atom. The value obtained for the electronic total energy is -6.27 eV/atom. The calculated density comes out at 10.18 g/cm³. Its total magnetic moment is 0.00 μB per formula unit.

The structure belongs to space group P2_1/c (No. 14); the cell edges are 5.831, 5.884 and 10.112 Å and the angles 90.00°, 125.09° and 90.00°. Symmetry generates all atoms from Ho at (0.000, 0.000, 0.000), Pt at (0.500, 0.000, 0.500), Pb at (0.260, 0.035, 0.752), O at (0.179, 0.023, 0.264), O at (0.271, 0.699, 0.045) and O at (0.349, 0.222, 0.042).

***

(4)
This record from the Alexandria database describes an optimized crystal structure of TiNiSe2S. The functional is GGA-PBE.

Its energy relative to the elements, uncorrected is 134 meV/atom. The value obtained for the electronic total energy is -4.82 eV/atom. The calculated density comes out at 5.19 g/cm³. Its total magnetic moment is 0.00 μB per formula unit.

The structure belongs to space group P4/mmm (No. 123); the cell edges are 4.683, 4.683 and 4.331 Å and the angles 90.00°, 90.00° and 90.00°. Symmetry generates all atoms from Ti at (0.000, 0.000, 0.000), Ni at (0.500, 0.500, 0.500), Se at (0.000, 0.500, 0.500) and S at (0.500, 0.500, 0.000).

***

(5)
This record from the Alexandria database describes an optimized crystal structure of Nd2NbCu. The functional is GGA-PBE.

The value obtained for the electronic total energy is -5.29 eV/atom. The calculated density comes out at 7.53 g/cm³. The formation energy from the elements comes out at 2.6 eV per formula unit. Its total magnetic moment is 0.99 μB per formula unit.

The structure belongs to space group R-3m (No. 166, hexagonal axes); the cell edges are 3.2311, 3.2311 and 32.5517 Å and the angles 90.00°, 90.00° and 120.00°. Symmetry generates all atoms from Nd at (0.0000, 0.0000, 0.0932), Nb at (0.0000, 0.0000, 0.0000) and Cu at (0.0000, 0.0000, 0.5000).

***

(6)
This record from the Alexandria database describes an optimized crystal structure of TiSi2Cl. The functional is GGA-PBE.

Its energy relative to the elements, uncorrected is 579 meV/atom. The value obtained for the electronic total energy is -4.57 eV/atom. The energy relative to the lowest polymorph listed for this composition comes out at 485 meV per atom. The calculated density comes out at 3.37 g/cm³. Its total magnetic moment is 0.00 μB per formula unit.

The structure belongs to space group Fm-3m (No. 225); the cell edges are 6.505, 6.505 and 6.505 Å and the angles 90.00°, 90.00° and 90.00°. Symmetry generates all atoms from Ti at (0.000, 0.000, 0.000), Si at (0.250, 0.250, 0.250) and Cl at (0.000, 0.000, 0.500).

***

(7)
This record from the Alexandria database describes an optimized crystal structure of TbPmPb. The functional is GGA-PBE.

The value obtained for the electronic total energy is -4.58 eV/atom. The energy relative to the lowest polymorph listed for this composition comes out at 234 meV per atom. The calculated density comes out at 8.90 g/cm³. The formation energy from the elements comes out at -0.6 eV per formula unit. Its total magnetic moment is 0.00 μB per formula unit.

The structure belongs to space group P2_1/m (No. 11); the cell edges are 3.653, 5.313 and 9.989 Å and the angles 90.00°, 100.36° and 90.00°. Symmetry generates all atoms from Tb at (0.213, 0.250, 0.427), Pm at (0.400, 0.250, 0.793) and Pb at (0.042, 0.250, 0.097).

***

(8)
This record from the Alexandria database describes an optimized crystal structure of TiAg3Os. The functional is GGA-PBE.

The value obtained for the electronic total energy is -3.83 eV/atom. The energy relative to the lowest polymorph listed for this composition comes out at 0 meV per atom. The calculated density comes out at 7.68 g/cm³. The formation energy from the elements comes out at 8.5 eV per formula unit. Its total magnetic moment is 0.00 μB per formula unit.

The structure belongs to space group Pm-3m (No. 221); the cell edges are 4.952, 4.952 and 4.952 Å and the angles 90.00°, 90.00° and 90.00°. Symmetry generates all atoms from Ti at (0.000, 0.000, 0.000), Ag at (0.000, 0.500, 0.500) and Os at (0.500, 0.500, 0.500).

***

(9)
This record from the Alexandria database describes an optimized crystal structure of Sm4AgOs. The functional is GGA-PBE.

The value obtained for the electronic total energy is -5.68 eV/atom. The energy relative to the lowest polymorph listed for this composition comes out at 2 meV per atom. The calculated density comes out at 9.10 g/cm³. The formation energy from the elements comes out at -1.1 eV per formula unit. Its total magnetic moment is 0.00 μB per formula unit.

The structure belongs to space group F-43m (No. 216); the cell edges are 13.796, 13.796 and 13.796 Å and the angles 90.00°, 90.00° and 90.00°. Symmetry generates all atoms from Sm at (0.000, 0.000, 0.190), Sm at (0.058, 0.250, 0.250), Sm at (0.097, 0.097, 0.597), Ag at (0.169, 0.169, 0.831) and Os at (0.112, 0.112, 0.388).

***

(10)
This record from the Alexandria database describes an optimized crystal structure of NaHfMn3. The functional is GGA-PBE.

The value obtained for the electronic total energy is -6.54 eV/atom. The energy relative to the lowest polymorph listed for this composition comes out at 0 meV per atom. The calculated density comes out at 5.05 g/cm³. The formation energy from the elements comes out at 6.1 eV per formula unit. Its total magnetic moment is 9.81 μB per formula unit.

The structure belongs to space group Pm-3m (No. 221); the cell edges are 4.940, 4.940 and 4.940 Å and the angles 90.00°, 90.00° and 90.00°. Symmetry generates all atoms from Na at (0.000, 0.000, 0.000), Hf at (0.500, 0.500, 0.500) and Mn at (0.000, 0.500, 0.500).

***

(11)
This record from the Alexandria database describes an optimized crystal structure of CdNi2Ag2. The functional is GGA-PBE.

The value obtained for the electronic total energy is -3.33 eV/atom. The energy relative to the lowest polymorph listed for this composition comes out at 77 meV per atom. The calculated density comes out at 8.79 g/cm³. The formation energy from the elements comes out at 1.6 eV per formula unit. Its total magnetic moment is 0.57 μB per formula unit.

The structure belongs to space group I4/mmm (No. 139); the cell edges are 3.358, 3.358 and 14.922 Å and the angles 90.00°, 90.00° and 90.00°. Symmetry generates all atoms from Cd at (0.000, 0.000, 0.000), Ni at (0.000, 0.500, 0.250) and Ag at (0.000, 0.000, 0.390).

***

(12)
This record from the Alexandria database describes an optimized crystal structure of Cd5PdRh4. The functional is GGA-PBE.

The value obtained for the electronic total energy is -4.06 eV/atom. The calculated density comes out at 10.57 g/cm³. The formation energy from the elements comes out at -1.4 eV per formula unit. Its total magnetic moment is 0.00 μB per formula unit.

The structure belongs to space group P4/mmm (No. 123); the cell edges are 3.247, 3.247 and 16.094 Å and the angles 90.00°, 90.00° and 90.00°. Symmetry generates all atoms from Cd at (0.000, 0.000, 0.000), Cd at (0.000, 0.000, 0.199), Cd at (0.000, 0.000, 0.397), Pd at (0.500, 0.500, 0.500), Rh at (0.500, 0.500, 0.099) and Rh at (0.500, 0.500, 0.299).

***

What did the eighth record say?
This record from the Alexandria database describes an optimized crystal structure of TiAg3Os. The functional is GGA-PBE.

The value obtained for the electronic total energy is -3.83 eV/atom. The energy relative to the lowest polymorph listed for this composition comes out at 0 meV per atom. The calculated density comes out at 7.68 g/cm³. The formation energy from the elements comes out at 8.5 eV per formula unit. Its total magnetic moment is 0.00 μB per formula unit.

The structure belongs to space group Pm-3m (No. 221); the cell edges are 4.952, 4.952 and 4.952 Å and the angles 90.00°, 90.00° and 90.00°. Symmetry generates all atoms from Ti at (0.000, 0.000, 0.000), Ag at (0.000, 0.500, 0.500) and Os at (0.500, 0.500, 0.500).

***

Question: What is the formula in the second record?
Answer: CaCuRe3

***

Question: Among the records above, which one has the lowest calculated density?
Answer: TiSi2Cl